RbPIrS2 | Alexandria | PBE | relaxed; formation energy without anion corrections = 2561.0 meV/atom; energy above the lowest structure with this stoichiometry = 2501.4 meV per atom; crystal system = tetragonal; raw total energy = -2.138 eV per atom; ρ = 3.99 Mg/m³; space-group type = P4/mmm
1.0
5.346 0.000 0.000
0.000 5.346 0.000
0.000 0.000 5.424
Rb P Ir S
1 1 1 2
Cartesian
0.000 0.000 0.000
0.000 0.000 2.712
2.673 2.673 2.712
0.000 2.673 0.000
2.673 0.000 0.000

B | Alexandria | PBE | relaxed; energy relative to the elements = 697 meV per atom; energy above the lowest structure with this stoichiometry = 697.1 meV per atom; crystal system = hexagonal; raw total energy = -5.980 eV per atom; ρ = 2.02 Mg/m³; space-group type = P6_3/mmc
1.0
1.716 0.000 0.000
-0.858 1.486 0.000
0.000 0.000 6.974
B
2
Cartesian
0.000 0.991 1.744
0.858 0.495 5.231

Nd2ThSi | Alexandria | PBE | relaxed; formation energy without anion corrections = -205.7 meV/atom; energy above the lowest structure with this stoichiometry = 0.0 meV per atom; crystal system = tetragonal; raw total energy = -5.800 eV per atom; ρ = 8.32 Mg/m³; space-group type = P4/mmm
1.0
4.773 0.000 0.000
0.000 4.773 0.000
0.000 0.000 4.806
Nd Th Si
2 1 1
Cartesian
0.000 2.386 0.000
2.386 0.000 0.000
0.000 0.000 2.403
2.386 2.386 2.403

Tm2PaTl3Se6 | Alexandria | PBE | relaxed; formation energy without anion corrections = -1209.2 meV/atom; crystal system = monoclinic; raw total energy = -5.080 eV per atom; ρ = 7.77 Mg/m³; space-group type = C2/m
1.0
3.577 -6.193 0.000
3.577 6.193 0.000
-2.383 0.000 7.987
Tm Pa Tl Se
2 1 3 6
Cartesian
3.577 4.131 0.000
3.577 -4.131 0.000
3.577 0.000 0.000
-1.191 0.000 3.993
2.385 2.076 3.993
2.385 -2.076 3.993
-0.010 2.085 6.399
1.170 0.000 1.593
-0.010 -2.085 6.399
4.781 2.085 1.588
3.601 0.000 6.394
4.781 -2.085 1.588

Pr2Dy2Y2Ho | Alexandria | PBE | relaxed; energy relative to the elements = 84 meV per atom; crystal system = monoclinic; raw total energy = -5.097 eV per atom; ρ = 6.71 Mg/m³; space-group type = C2/m
1.0
11.819 0.000 0.000
0.000 3.531 0.000
-3.818 0.000 11.252
Pr Dy Y Ho
4 4 4 2
Cartesian
1.710 0.000 0.973
0.382 1.766 10.279
7.619 1.766 0.973
6.292 0.000 10.279
1.303 1.766 4.119
0.789 0.000 7.133
7.213 0.000 4.119
6.699 1.766 7.133
-2.367 0.000 8.656
4.458 1.766 2.596
3.543 1.766 8.656
10.368 0.000 2.596
-1.909 1.766 5.626
4.001 0.000 5.626

Mg2Be2Al | Alexandria | PBE | relaxed; energy relative to the elements = 192 meV per atom; energy above the lowest structure with this stoichiometry = 0.0 meV per atom; crystal system = tetragonal; raw total energy = -2.685 eV per atom; ρ = 2.00 Mg/m³; space-group type = P4/mbm
1.0
6.273 0.000 0.000
0.000 6.273 0.000
0.000 0.000 3.956
Mg Be Al
4 4 2
Cartesian
1.066 2.071 0.000
2.071 5.207 0.000
4.203 1.066 0.000
5.207 4.203 0.000
0.772 3.908 1.978
2.365 0.772 1.978
3.908 5.502 1.978
5.502 2.365 1.978
0.000 0.000 1.978
3.137 3.137 1.978

Zr2AuSe | Alexandria | PBE | relaxed; formation energy without anion corrections = -680.1 meV/atom; crystal system = monoclinic; raw total energy = -6.645 eV per atom; ρ = 9.30 Mg/m³; space-group type = Cm
1.0
10.429 0.000 0.000
0.000 3.344 0.000
-0.547 0.000 4.695
Zr Au Se
4 2 2
Cartesian
0.000 0.000 0.000
2.162 0.000 2.596
5.215 1.672 0.000
7.376 1.672 2.596
2.486 1.672 0.311
7.701 0.000 0.311
-0.195 1.672 2.390
5.019 0.000 2.390

Ac2PmDyTe6 | Alexandria | PBE | relaxed; formation energy without anion corrections = -1448.3 meV/atom; crystal system = trigonal; raw total energy = -5.090 eV per atom; ρ = 6.20 Mg/m³; space-group type = R3
1.0
4.070 2.350 7.122
-4.070 2.350 7.122
0.000 -4.700 7.122
Ac Pm Dy Te
2 1 1 6
Cartesian
0.000 0.000 0.000
0.000 0.000 10.666
0.000 0.000 4.281
0.000 0.000 14.944
-1.470 -2.702 9.415
-2.418 0.238 13.007
-1.605 2.624 9.415
1.003 -2.213 13.007
3.075 0.078 9.415
1.415 1.975 13.007